Record 1
A relaxed structure of CsZnSe2N, computed with GGA-PBE.

a b c (Å): 6.1622 6.1622 3.6218
angles (deg): 90.00 90.00 90.00
Closest atoms and distances in Å follow each position.
Element x y z (fractional)
Cs (0.0000, 0.0000, 0.0000)  8 Se 3.57, 2 Cs 3.62
Zn (0.5000, 0.5000, 0.5000)  2 N 1.81
Se (0.0000, 0.5000, 0.5000)  2 Zn 3.08
Se (0.5000, 0.0000, 0.5000)  2 Zn 3.08
N (0.5000, 0.5000, 0.0000)  2 Zn 1.81

Properties
* energy relative to the elements, uncorrected: 226 kJ/mol of formula units
* total magnetization: 2.42 μB/cell
* density of states at the Fermi level: 4.43 states/eV/cell
* VASP energy: -15.08 eV/cell
* mass density: 4.5 Mg/m³

Record 2
A relaxed structure of YAgSb2, computed with GGA-PBE.

a b c (Å): 9.9309 9.9309 9.9309
angles (deg): 20.14 20.14 20.14
Closest atoms and distances in Å follow each position.
Element x y z (fractional)
Y (0.0000, 0.0000, 0.0000)  6 Sb 3.26, 6 Y 3.47
Ag (0.5000, 0.5000, 0.5000)  6 Sb 3.04
Sb (0.2452, 0.2452, 0.2452)  3 Ag 3.04, 3 Y 3.26
Sb (0.7548, 0.7548, 0.7548)  3 Ag 3.04, 3 Y 3.26

Properties
* energy relative to the elements, uncorrected: -73 kJ/mol of formula units
* total magnetization: 0.00 μB/cell
* density of states at the Fermi level: 1.69 states/eV/cell
* VASP energy: -18.32 eV/cell
* mass density: 7.2 Mg/m³